1.
A plane-wave DFT calculation with PBE was carried out for DyPuTe after structural relaxation.

Geometry as extended XYZ:
```
3
Lattice="2.8652 -4.1507 0.8136 2.2508 -0.7019 4.5322 -1.6609 -3.6761 3.1348" Properties=species:S:1:pos:R:3 pbc="T T T"
Te 0.0000 0.0000 0.0000
Pu 2.5913 -6.3966 6.3605
Dy 0.8638 -2.1322 2.1202
```

Summary:
Its crystal system is cubic. The total moment comes out at 2.49 μB per atom. As for the total energy: -7.70 eV per atom. The distance to the lowest polymorph of the same formula comes out at 0 meV per atom.



2.
A plane-wave DFT calculation with PBE was carried out for DyPuTh after structural relaxation.

Geometry as extended XYZ:
```
3
Lattice="-1.8598 -0.6726 4.8902 -5.0424 -1.3609 0.7402 -1.2002 -4.8390 1.7230" Properties=species:S:1:pos:R:3 pbc="T T T"
Dy 0.0000 0.0000 0.0000
Pu -2.0256 -1.7181 1.8383
Th -6.0768 -5.1544 5.5150
```

Summary:
Its crystal system is cubic. The total moment comes out at 2.11 μB per atom. As for the total energy: -7.85 eV per atom. The value obtained for the formation energy is 0.867 eV per atom.